A relaxed PmThSe2 crystal. Source: Alexandria via LeMat-Bulk, functional PBE.

a = 4.0661 Å, b = 4.0661 Å, c = 14.6902 Å
α = 90.00°, β = 90.00°, γ = 120.00°
Space group P6_3/mmc (No. 194)
Asymmetric unit:
Pm 0.0000 0.0000 0.0000 x2
Th 0.3333 0.6667 0.2500 x2
Se 0.3333 0.6667 0.6224 x4

Computed properties:
**DOS(E_F)**: 2.601 states/eV/f.u.
**E above lowest polymorph**: 0.019 eV/atom
**Uncorrected energy**: -51.555 eV per cell
**Energy relative to the elements, uncorrected**: -1.66 eV per atom
**Crystal system**: hexagonal